Density functional theory data (PBE) for an optimized crystal structure of Tb3Tm4Sn4.

Output
Mass density ... 8.41 g/cm³
DOS at the Fermi energy ... 1.084 states/eV per atom
V ... 29.22 Å³/atom
Final energy ... -4.85 eV/atom
Size of the total moment ... 4.2 μB/cell

Cell and atoms, written as CIF:
```
data_Tb3Tm4Sn4
_chemical_formula_sum 'Tb6 Tm8 Sn8'
_cell_length_a 4.141
_cell_length_b 9.207
_cell_length_c 16.860
_cell_angle_alpha 90.00
_cell_angle_beta 90.00
_cell_angle_gamma 90.00
_symmetry_space_group_name_H-M 'I m m m'
_symmetry_Int_Tables_number 71
_symmetry_space_group_name_Hall '-I 2 2'
loop_
_atom_site_label
_atom_site_type_symbol
_atom_site_fract_x
_atom_site_fract_y
_atom_site_fract_z
Tb1 Tb 0.000 0.000 0.000
Tb2 Tb 0.000 0.500 0.107
Tm1 Tm 0.000 0.306 0.329
Sn1 Sn 0.000 0.000 0.252
Sn2 Sn 0.000 0.211 0.500
```

=====

Density functional theory data (PBE) for an optimized crystal structure of Sm2HfC.

Output
Mass density ... 8.30 g/cm³
DOS at the Fermi energy ... 1.076 states/eV per atom
V ... 24.57 Å³/atom
Final energy ... -6.86 eV/atom
Size of the total moment ... 0.0 μB/cell

Cell and atoms, written as CIF:
```
data_Sm2HfC
_chemical_formula_sum 'Sm6 Hf3 C3'
_cell_length_a 3.4635
_cell_length_b 3.4635
_cell_length_c 28.3790
_cell_angle_alpha 90.00
_cell_angle_beta 90.00
_cell_angle_gamma 120.00
_symmetry_space_group_name_H-M 'R -3 m'
_symmetry_Int_Tables_number 166
_symmetry_space_group_name_Hall '-R 3 2"'
loop_
_atom_site_label
_atom_site_type_symbol
_atom_site_fract_x
_atom_site_fract_y
_atom_site_fract_z
Sm1 Sm 0.0000 0.0000 0.1166
Hf1 Hf 0.0000 0.0000 0.0000
C1 C 0.0000 0.0000 0.5000
```

=====

Density functional theory data (PBE) for an optimized crystal structure of Ti2CrTc.

Output
Mass density ... 6.68 g/cm³
DOS at the Fermi energy ... 1.194 states/eV per atom
V ... 15.26 Å³/atom
Final energy ... -8.56 eV/atom
Size of the total moment ... 0.0 μB/cell

Cell and atoms, written as CIF:
```
data_Ti2CrTc
_chemical_formula_sum 'Ti8 Cr4 Tc4'
_cell_length_a 6.797
_cell_length_b 6.797
_cell_length_c 5.285
_cell_angle_alpha 90.00
_cell_angle_beta 90.00
_cell_angle_gamma 90.00
_symmetry_space_group_name_H-M 'I -4 2 d'
_symmetry_Int_Tables_number 122
_symmetry_space_group_name_Hall 'I -4 2bw'
loop_
_atom_site_label
_atom_site_type_symbol
_atom_site_fract_x
_atom_site_fract_y
_atom_site_fract_z
Ti1 Ti 0.245 0.250 0.125
Cr1 Cr 0.000 0.000 0.000
Tc1 Tc 0.000 0.000 0.500
```

=====

Density functional theory data (PBE) for an optimized crystal structure of GdErAgOs.

Output
Mass density ... 12.05 g/cm³
DOS at the Fermi energy ... 0.516 states/eV per atom
V ... 21.44 Å³/atom
Final energy ... -8.44 eV/atom
Size of the total moment ... 28.7 μB/cell

Cell and atoms, written as CIF:
```
data_GdErAgOs
_chemical_formula_sum 'Gd4 Er4 Ag4 Os4'
_cell_length_a 7.001
_cell_length_b 7.001
_cell_length_c 7.001
_cell_angle_alpha 90.00
_cell_angle_beta 90.00
_cell_angle_gamma 90.00
_symmetry_space_group_name_H-M 'F -4 3 m'
_symmetry_Int_Tables_number 216
_symmetry_space_group_name_Hall 'F -4 2 3'
loop_
_atom_site_label
_atom_site_type_symbol
_atom_site_fract_x
_atom_site_fract_y
_atom_site_fract_z
Gd1 Gd 0.000 0.000 0.000
Er1 Er 0.000 0.000 0.500
Ag1 Ag 0.250 0.250 0.750
Os1 Os 0.250 0.250 0.250
```

=====

Density functional theory data (PBE) for an optimized crystal structure of AgTeSe2I.

Output
Mass density ... 4.24 g/cm³
DOS at the Fermi energy ... 0.193 states/eV per atom
Energy relative to the elements, uncorrected ... -0.014 eV/atom
V ... 40.78 Å³/atom
Final energy ... -2.92 eV/atom
Size of the total moment ... 0.0 μB/cell

Cell and atoms, written as CIF:
```
data_AgTeSe2I
_chemical_formula_sum 'Ag2 Te2 Se4 I2'
_cell_length_a 10.026
_cell_length_b 4.338
_cell_length_c 10.475
_cell_angle_alpha 90.00
_cell_angle_beta 116.47
_cell_angle_gamma 90.00
_symmetry_space_group_name_H-M 'P 1 21/m 1'
_symmetry_Int_Tables_number 11
loop_
_symmetry_equiv_pos_as_xyz
'x,y,z'
'-x,-y,-z'
'-x,y+1/2,-z'
'x,-y+1/2,z'
loop_
_atom_site_label
_atom_site_type_symbol
_atom_site_fract_x
_atom_site_fract_y
_atom_site_fract_z
Ag1 Ag 0.025 0.250 0.433
Te1 Te 0.304 0.750 0.365
Se1 Se 0.010 0.750 0.296
Se2 Se 0.364 0.250 0.552
I1 I 0.253 0.250 0.133
```

=====

Density functional theory data (PBE) for an optimized crystal structure of BeAlPd.

Output
Mass density ... 6.05 g/cm³
DOS at the Fermi energy ... 0.286 states/eV per atom
V ... 13.02 Å³/atom
Final energy ... -4.65 eV/atom
E above lowest polymorph ... 0.250 eV/f.u.
Size of the total moment ... 0.0 μB/cell

Cell and atoms, written as CIF:
```
data_BeAlPd
_chemical_formula_sum 'Be1 Al1 Pd1'
_cell_length_a 4.0206
_cell_length_b 4.0206
_cell_length_c 2.7901
_cell_angle_alpha 90.00
_cell_angle_beta 90.00
_cell_angle_gamma 120.00
_symmetry_space_group_name_H-M 'P -6 m 2'
_symmetry_Int_Tables_number 187
_symmetry_space_group_name_Hall 'P -6 2'
loop_
_atom_site_label
_atom_site_type_symbol
_atom_site_fract_x
_atom_site_fract_y
_atom_site_fract_z
Be1 Be 0.0000 0.0000 0.0000
Al1 Al 0.6667 0.3333 0.5000
Pd1 Pd 0.3333 0.6667 0.0000
```